Entry 1:
GdTlCuAg after structural relaxation. Source: Alexandria, functional PBE.

* total magnetization: 28.8 μB per cell
* space-group type: No. 216
* DOS(E_F): 8.4 states/eV per cell

a = 6.959 Å, b = 6.959 Å, c = 6.959 Å
α = 90.00°, β = 90.00°, γ = 90.00°
Sites, in units of the cell vectors:
1 Gd 0.000 0.000 0.000
2 Gd 0.000 0.500 0.500
3 Gd 0.500 0.000 0.500
4 Gd 0.500 0.500 0.000
5 Tl 0.000 0.000 0.500
6 Tl 0.000 0.500 0.000
7 Tl 0.500 0.000 0.000
8 Tl 0.500 0.500 0.500
9 Cu 0.250 0.250 0.750
10 Cu 0.250 0.750 0.250
11 Cu 0.750 0.250 0.250
12 Cu 0.750 0.750 0.750
13 Ag 0.250 0.250 0.250
14 Ag 0.250 0.750 0.750
15 Ag 0.750 0.250 0.750
16 Ag 0.750 0.750 0.250

Entry 2:
GdTmCuAg after structural relaxation. Source: Alexandria, functional PBE.

* total magnetization: 28.6 μB per cell
* space-group type: No. 216
* DOS(E_F): 10.1 states/eV per cell

a = 7.120 Å, b = 7.120 Å, c = 7.120 Å
α = 90.00°, β = 90.00°, γ = 90.00°
Sites, in units of the cell vectors:
1 Gd 0.000 0.000 0.000
2 Gd 0.000 0.500 0.500
3 Gd 0.500 0.000 0.500
4 Gd 0.500 0.500 0.000
5 Tm 0.000 0.000 0.500
6 Tm 0.000 0.500 0.000
7 Tm 0.500 0.000 0.000
8 Tm 0.500 0.500 0.500
9 Cu 0.250 0.250 0.750
10 Cu 0.250 0.750 0.250
11 Cu 0.750 0.250 0.250
12 Cu 0.750 0.750 0.750
13 Ag 0.250 0.250 0.250
14 Ag 0.250 0.750 0.750
15 Ag 0.750 0.250 0.750
16 Ag 0.750 0.750 0.250

Values of formation energy from the elements, in order: -0.1692; -0.2587, all in eV per atom.